No. 1
VASP calculation (PBE) on a geometry-optimized CsGaH2Pb structure.

Cell and atoms, written as POSCAR:
```
CsGaH2Pb
1.0
4.819 0.000 0.000
0.000 4.819 0.000
0.000 0.000 5.489
Cs Ga H Pb
1 1 2 1
Cartesian
0.000 0.000 0.000
2.409 2.409 2.745
0.000 2.409 2.745
2.409 0.000 2.745
2.409 2.409 0.000
```

Total magnetic moment   0.000 μB/cell
Calculated total energy   -2.32 eV per atom



No. 2
VASP calculation (PBE) on a geometry-optimized CsRb2GaH structure.

Cell and atoms, written as POSCAR:
```
CsRb2GaH
1.0
6.152 0.000 0.000
0.000 6.152 0.000
0.000 0.000 5.753
Cs Rb Ga H
1 2 1 1
Cartesian
0.000 0.000 0.000
0.000 3.076 2.876
3.076 0.000 2.876
3.076 3.076 0.000
3.076 3.076 2.876
```

Total magnetic moment   0.821 μB/cell
Excess energy over the best structure of this formula in the dataset   0 meV per atom



No. 3
VASP calculation (PBE) on a geometry-optimized CsRbGa2H8 structure.

Cell and atoms, written as POSCAR:
```
CsRbGa2H8
1.0
2.746 1.586 8.535
-2.746 1.586 8.535
0.000 -3.171 8.535
Cs Rb Ga H
1 1 2 8
Cartesian
0.000 0.000 0.000
0.000 0.000 12.802
0.000 0.000 6.350
0.000 0.000 19.254
-1.328 0.713 5.821
0.046 -1.507 5.821
0.000 0.000 7.955
-1.282 -0.794 19.783
1.282 0.794 5.821
0.000 0.000 17.650
-0.046 1.507 19.783
1.328 -0.713 19.783
```

Total magnetic moment   0.000 μB/cell
Calculated total energy   -3.10 eV per atom



No. 4
VASP calculation (PBE) on a geometry-optimized CsRb2GaH6 structure.

Cell and atoms, written as POSCAR:
```
CsRb2GaH6
1.0
6.141 0.000 0.000
0.000 6.141 0.000
0.000 0.000 6.141
Cs Rb Ga H
1 2 1 6
Cartesian
0.000 0.000 0.000
0.000 3.070 2.759
3.070 0.000 2.759
3.070 3.070 0.643
0.000 0.000 3.193
1.887 1.887 1.112
1.887 4.254 1.112
3.070 3.070 5.157
4.254 1.887 1.112
4.254 4.254 1.112
```

Total magnetic moment   0.000 μB/cell
Calculated total energy   -2.70 eV per atom



No. 5
VASP calculation (PBE) on a geometry-optimized CsRb2GaH structure.

Cell and atoms, written as POSCAR:
```
CsRb2GaH
1.0
8.216 0.000 0.000
0.000 8.216 0.000
0.000 0.000 6.376
Cs Rb Ga H
1 2 1 1
Cartesian
0.000 0.000 0.000
0.000 4.108 0.000
4.108 0.000 0.000
0.000 0.000 3.188
4.108 4.108 3.188
```

Total magnetic moment   2.307 μB/cell
Excess energy over the best structure of this formula in the dataset   582 meV per atom



No. 6
VASP calculation (PBE) on a geometry-optimized CsGa2HRh structure.

Cell and atoms, written as POSCAR:
```
CsGa2HRh
1.0
4.316 0.000 0.000
0.000 4.316 0.000
0.000 0.000 5.228
Cs Ga H Rh
1 2 1 1
Cartesian
0.000 0.000 0.000
0.000 2.158 2.614
2.158 0.000 2.614
0.000 0.000 2.614
2.158 2.158 0.000
```

Total magnetic moment   0.000 μB/cell
Calculated total energy   -2.90 eV per atom



No. 7
VASP calculation (PBE) on a geometry-optimized CsGaSbH2 structure.

Cell and atoms, written as POSCAR:
```
CsGaSbH2
1.0
4.530 0.000 0.000
0.000 4.530 0.000
0.000 0.000 7.455
Cs Ga Sb H
1 1 1 2
Cartesian
0.000 0.000 0.000
2.265 2.265 0.000
0.000 0.000 3.727
0.000 2.265 3.727
2.265 0.000 3.727
```

Total magnetic moment   0.000 μB/cell
Calculated total energy   -2.18 eV per atom



No. 8
VASP calculation (PBE) on a geometry-optimized Cs2GaSbH structure.

Cell and atoms, written as POSCAR:
```
Cs2GaSbH
1.0
7.431 0.000 0.000
0.000 4.549 0.000
-2.411 0.000 11.132
Cs Ga Sb H
4 2 2 2
Cartesian
0.525 1.137 4.654
1.929 3.412 0.836
3.090 1.137 10.296
4.495 3.412 6.479
0.705 3.412 7.887
4.315 1.137 3.246
-0.592 1.137 8.661
5.611 3.412 2.471
2.760 1.137 2.582
2.259 3.412 8.550
```

Total magnetic moment   0.000 μB/cell
Calculated total energy   -2.72 eV per atom